The following is a DFT calculation (PBE) of a relaxed NpCuGeN crystal.

Unit cell a=3.9294 b=3.9294 c=7.9990 alpha=90.00 beta=90.00 gamma=90.00
Space group P4/nmm (No. 129, origin choice 2)
Symmetry-distinct sites (fractional):
Np (0.2500, 0.2500, 0.1367) (multiplicity 2)
Cu (0.2500, 0.7500, 0.5000) (multiplicity 2)
Ge (0.2500, 0.2500, 0.6779) (multiplicity 2)
N (0.2500, 0.7500, 0.0000) (multiplicity 2)

Calculated values
crystal system	tetragonal
formation energy without anion corrections	-0.591	eV per atom
spin magnetization	5.60	μB/cell

***

The following is a DFT calculation (PBE) of a relaxed La12Tl4InO3 crystal.

Unit cell a=10.6291 b=10.6291 c=10.6291 alpha=90.00 beta=90.00 gamma=90.00
Space group Im-3m (No. 229)
Symmetry-distinct sites (fractional):
La (0.0000, 0.0000, 0.2761) (multiplicity 12)
La (0.0000, 0.2500, 0.5000) (multiplicity 12)
Tl (0.2500, 0.2500, 0.2500) (multiplicity 8)
In (0.0000, 0.0000, 0.0000) (multiplicity 2)
O (0.0000, 0.0000, 0.5000) (multiplicity 6)

Calculated values
crystal system	cubic
formation energy without anion corrections	-0.943	eV per atom
spin magnetization	0.00	μB/cell

***

The following is a DFT calculation (PBE) of a relaxed ScMn5Pt6 crystal.

Unit cell a=4.1669 b=12.4861 c=7.1528 alpha=90.00 beta=90.00 gamma=90.00
Space group Cmmm (No. 65)
Symmetry-distinct sites (fractional):
Sc (0.0000, 0.0000, 0.0000) (multiplicity 2)
Mn (0.0000, 0.0000, 0.5000) (multiplicity 2)
Mn (0.0000, 0.3304, 0.0000) (multiplicity 4)
Mn (0.0000, 0.3341, 0.5000) (multiplicity 4)
Pt (0.0000, 0.1681, 0.2549) (multiplicity 8)
Pt (0.0000, 0.5000, 0.2553) (multiplicity 4)

Calculated values
crystal system	orthorhombic
formation energy	-0.517	eV per atom
spin magnetization	43.62	μB/cell

***

The following is a DFT calculation (PBE) of a relaxed RbMnTl2Cl5 crystal.

Unit cell a=8.6225 b=8.6225 c=14.9773 alpha=90.00 beta=90.00 gamma=90.00
Space group I4/mcm (No. 140)
Symmetry-distinct sites (fractional):
Rb (0.0000, 0.0000, 0.2500) (multiplicity 4)
Mn (0.0000, 0.5000, 0.2500) (multiplicity 4)
Tl (0.1665, 0.3335, 0.0000) (multiplicity 8)
Cl (0.0000, 0.0000, 0.0000) (multiplicity 4)
Cl (0.1513, 0.3487, 0.3466) (multiplicity 16)

Calculated values
crystal system	tetragonal
formation energy without anion corrections	-1.272	eV per atom
spin magnetization	20.00	μB/cell

***

The following is a DFT calculation (PBE) of a relaxed Al2FeMo crystal.

Unit cell a=3.4095 b=4.1338 c=7.9571 alpha=90.00 beta=90.00 gamma=90.00
Space group Cmmm (No. 65)
Symmetry-distinct sites (fractional):
Al (0.0000, 0.0000, 0.2300) (multiplicity 4)
Fe (0.0000, 0.5000, 0.0000) (multiplicity 2)
Mo (0.0000, 0.5000, 0.5000) (multiplicity 2)

Calculated values
crystal system	orthorhombic
energy relative to the lowest polymorph listed for this composition	23	meV per atom
formation energy	-0.204	eV per atom
spin magnetization	3.63	μB/cell

***

The following is a DFT calculation (PBE) of a relaxed TaNb2Hg2Se6 crystal.

Unit cell a=6.0290 b=10.4384 c=9.6965 alpha=90.00 beta=102.29 gamma=90.00
Space group C2/m (No. 12)
Symmetry-distinct sites (fractional):
Ta (0.0000, 0.0000, 0.0000) (multiplicity 2)
Nb (0.0000, 0.3328, 0.0000) (multiplicity 4)
Hg (0.0000, 0.1674, 0.5000) (multiplicity 4)
Se (0.2263, 0.1657, 0.1775) (multiplicity 8)
Se (0.2299, 0.5000, 0.1772) (multiplicity 4)

Calculated values
crystal system	monoclinic
formation energy without anion corrections	-0.659	eV per atom
spin magnetization	0.00	μB/cell

***

The following is a DFT calculation (PBE) of a relaxed AlCuHg2 crystal.

Unit cell a=4.0797 b=4.2622 c=4.3090 alpha=90.00 beta=90.00 gamma=90.00
Space group Pmmm (No. 47)
Symmetry-distinct sites (fractional):
Al (0.0000, 0.0000, 0.0000) (multiplicity 1)
Cu (0.0000, 0.5000, 0.5000) (multiplicity 1)
Hg (0.5000, 0.0000, 0.5000) (multiplicity 1)
Hg (0.5000, 0.5000, 0.0000) (multiplicity 1)

Calculated values
crystal system	orthorhombic
formation energy	0.236	eV per atom
spin magnetization	0.00	μB/cell

***

The following is a DFT calculation (PBE) of a relaxed Pm7Si2Sn crystal.

Unit cell a=4.9955 b=4.9955 c=23.6173 alpha=90.00 beta=90.00 gamma=90.00
Space group I4/mmm (No. 139)
Symmetry-distinct sites (fractional):
Pm (0.0000, 0.0000, 0.0000) (multiplicity 2)
Pm (0.0000, 0.5000, 0.1019) (multiplicity 8)
Pm (0.0000, 0.5000, 0.2500) (multiplicity 4)
Si (0.0000, 0.0000, 0.1759) (multiplicity 4)
Sn (0.0000, 0.0000, 0.5000) (multiplicity 2)

Calculated values
crystal system	tetragonal
formation energy without anion corrections	-0.391	eV per atom
spin magnetization	0.00	μB/cell

***

The following is a DFT calculation (PBE) of a relaxed In2SiIrOs crystal.

Unit cell a=4.9125 b=4.9125 c=4.3425 alpha=90.00 beta=90.00 gamma=90.00
Space group P4/mmm (No. 123)
Symmetry-distinct sites (fractional):
In (0.0000, 0.5000, 0.0000) (multiplicity 2)
Si (0.0000, 0.0000, 0.0000) (multiplicity 1)
Ir (0.5000, 0.5000, 0.5000) (multiplicity 1)
Os (0.0000, 0.0000, 0.5000) (multiplicity 1)

Calculated values
crystal system	tetragonal
formation energy without anion corrections	1.288	eV per atom
spin magnetization	0.00	μB/cell

***

The following is a DFT calculation (PBE) of a relaxed SmSCl crystal.

Unit cell a=4.1530 b=4.1530 c=6.5240 alpha=90.00 beta=90.00 gamma=120.00
Space group P3m1 (No. 156)
Symmetry-distinct sites (fractional):
Sm (0.0000, 0.0000, 0.0000) (multiplicity 1)
S (0.6667, 0.3333, 0.1905) (multiplicity 1)
Cl (0.3333, 0.6667, 0.7495) (multiplicity 1)

Calculated values
crystal system	trigonal
formation energy without anion corrections	-2.074	eV per atom
spin magnetization	0.00	μB/cell

***

The following is a DFT calculation (PBE) of a relaxed Ba2YZr crystal.

Unit cell a=11.2604 b=3.6430 c=7.6961 alpha=90.00 beta=96.43 gamma=90.00
Space group Cm (No. 8)
Symmetry-distinct sites (fractional):
Ba (0.0000, 0.0000, 0.0000) (multiplicity 2)
Ba (0.2345, 0.0000, 0.6945) (multiplicity 2)
Y (0.4746, 0.0000, 0.4167) (multiplicity 2)
Zr (0.2446, 0.5000, 0.2719) (multiplicity 2)

Calculated values
crystal system	monoclinic
energy relative to the lowest polymorph listed for this composition	157	meV per atom
formation energy	0.472	eV per atom
spin magnetization	0.00	μB/cell

***

The following is a DFT calculation (PBE) of a relaxed Zn3In3Ir2Rh crystal.

Unit cell a=7.6025 b=7.6025 c=3.0811 alpha=90.00 beta=90.00 gamma=120.00
Space group P-62m (No. 189)
Symmetry-distinct sites (fractional):
Zn (0.0000, 0.6100, 0.0000) (multiplicity 3)
In (0.0000, 0.2878, 0.5000) (multiplicity 3)
Ir (0.3333, 0.6667, 0.5000) (multiplicity 2)
Rh (0.0000, 0.0000, 0.0000) (multiplicity 1)

Calculated values
crystal system	hexagonal
formation energy	-0.099	eV per atom
spin magnetization	0.00	μB/cell